Sr2AlAsF: relaxed, PBE.

Properties
As for the spin magnetization: 1.41 μB per formula unit. The space group is No. 123. The density of states at the Fermi level is 3.57 states/eV/cell. The value obtained for the uncorrected formation energy is -594 meV per atom. For the total energy, the calculation gives -3.32 eV per atom.

Lattice parameters (Å, degrees): 6.1284 4.2726 6.1284 90.00 90.00 90.00
Closest atoms and distances in Å follow each position.
Element x y z (fractional)
Al: 0.5000 0.5000 0.5000  8 Sr 3.74
Sr: 0.0000 0.0000 0.5000  2 As 3.06
Sr: 0.5000 0.0000 0.0000  2 As 3.06
As: 0.0000 0.0000 0.0000  2 F 2.14
F: 0.0000 0.5000 0.0000  2 As 2.14